Entry from Alexandria via LeMat-Bulk: a geometry-optimized KIr2PbO8 structure (GGA-PBE).

Geometry as CIF:
```
data_KIr2PbO8
_cell_length_a 5.8129
_cell_length_b 5.8129
_cell_length_c 7.1689
_cell_angle_alpha 90.00
_cell_angle_beta 90.00
_cell_angle_gamma 120.00
_space_group_name_H-M_alt 'P -3'
_space_group_IT_number 147
loop_
_space_group_symop_operation_xyz
'x,y,z'
'-x,-y,-z'
'-y,x-y,z'
'y,-x+y,-z'
'-x+y,-x,z'
'x-y,x,-z'
loop_
_atom_site_label
_atom_site_fract_x
_atom_site_fract_y
_atom_site_fract_z
_atom_site_occupancy
K1 0.0000 0.0000 0.0000 1
Ir1 0.3333 0.6667 0.4590 1
Pb1 0.0000 0.0000 0.5000 1
O1 0.0637 0.3921 0.6219 1
O2 0.3333 0.6667 0.2056 1
```

The value obtained for the raw formation energy is -606 meV per atom. For the final energy, the calculation gives -0.425 Ry/atom.

***

Entry from Alexandria via LeMat-Bulk: a geometry-optimized TmPuZnAg structure (GGA-PBE).

Geometry as CIF:
```
data_TmPuZnAg
_cell_length_a 7.205
_cell_length_b 7.205
_cell_length_c 7.205
_cell_angle_alpha 90.00
_cell_angle_beta 90.00
_cell_angle_gamma 90.00
_space_group_name_H-M_alt 'F -4 3 m'
_space_group_IT_number 216
_space_group_name_Hall 'F -4 2 3'
loop_
_atom_site_label
_atom_site_fract_x
_atom_site_fract_y
_atom_site_fract_z
_atom_site_occupancy
Tm1 0.000 0.000 0.000 1
Pu1 0.000 0.000 0.500 1
Zn1 0.250 0.250 0.750 1
Ag1 0.250 0.250 0.250 1
```

For the final energy, the calculation gives -0.429 Ry/atom. As for the formation energy from the elements: -0.10 eV/atom.

***

Entry from Alexandria via LeMat-Bulk: a geometry-optimized CaPW2 structure (GGA-PBE).

Geometry as CIF:
```
data_CaPW2
_cell_length_a 3.264
_cell_length_b 4.171
_cell_length_c 6.075
_cell_angle_alpha 90.00
_cell_angle_beta 105.28
_cell_angle_gamma 90.00
_space_group_name_H-M_alt 'P 1 m 1'
_space_group_IT_number 6
loop_
_space_group_symop_operation_xyz
'x,y,z'
'x,-y,z'
loop_
_atom_site_label
_atom_site_fract_x
_atom_site_fract_y
_atom_site_fract_z
_atom_site_occupancy
Ca1 0.000 0.000 0.000 1
P1 0.609 0.500 0.223 1
W1 0.264 0.500 0.538 1
W2 0.734 0.000 0.478 1
```

Its energy above the most stable polymorph in this dataset is 0 meV per atom. For the final energy, the calculation gives -0.605 Ry/atom. As for the formation energy from the elements: 0.09 eV/atom.

***

Entry from Alexandria via LeMat-Bulk: a geometry-optimized LiErLuRu structure (GGA-PBE).

Geometry as CIF:
```
data_LiErLuRu
_cell_length_a 6.842
_cell_length_b 6.842
_cell_length_c 6.842
_cell_angle_alpha 90.00
_cell_angle_beta 90.00
_cell_angle_gamma 90.00
_space_group_name_H-M_alt 'F -4 3 m'
_space_group_IT_number 216
_space_group_name_Hall 'F -4 2 3'
loop_
_atom_site_label
_atom_site_fract_x
_atom_site_fract_y
_atom_site_fract_z
_atom_site_occupancy
Li1 0.000 0.000 0.000 1
Er1 0.250 0.250 0.750 1
Lu1 0.250 0.250 0.250 1
Ru1 0.000 0.000 0.500 1
```

For the final energy, the calculation gives -0.397 Ry/atom. As for the formation energy from the elements: -0.33 eV/atom.

***

Entry from Alexandria via LeMat-Bulk: a geometry-optimized CaFe2Sb structure (GGA-PBE).

Geometry as CIF:
```
data_CaFe2Sb
_cell_length_a 5.943
_cell_length_b 9.597
_cell_length_c 3.128
_cell_angle_alpha 90.00
_cell_angle_beta 119.74
_cell_angle_gamma 90.00
_space_group_name_H-M_alt 'C 1 2/m 1'
_space_group_IT_number 12
loop_
_space_group_symop_operation_xyz
'x,y,z'
'-x,-y,-z'
'-x,y,-z'
'x,-y,z'
'x+1/2,y+1/2,z'
'-x+1/2,-y+1/2,-z'
'-x+1/2,y+1/2,-z'
'x+1/2,-y+1/2,z'
loop_
_atom_site_label
_atom_site_fract_x
_atom_site_fract_y
_atom_site_fract_z
_atom_site_occupancy
Ca1 0.000 0.000 0.000 1
Fe1 0.250 0.250 0.500 1
Sb1 0.000 0.500 0.000 1
```

The value obtained for the raw formation energy is 433 meV per atom. For the final energy, the calculation gives -0.392 Ry/atom.

***

Entry from Alexandria via LeMat-Bulk: a geometry-optimized K2ZrW structure (GGA-PBE).

Geometry as CIF:
```
data_K2ZrW
_cell_length_a 5.883
_cell_length_b 13.253
_cell_length_c 2.884
_cell_angle_alpha 90.00
_cell_angle_beta 112.86
_cell_angle_gamma 90.00
_space_group_name_H-M_alt 'C 1 2/m 1'
_space_group_IT_number 12
loop_
_space_group_symop_operation_xyz
'x,y,z'
'-x,-y,-z'
'-x,y,-z'
'x,-y,z'
'x+1/2,y+1/2,z'
'-x+1/2,-y+1/2,-z'
'-x+1/2,y+1/2,-z'
'x+1/2,-y+1/2,z'
loop_
_atom_site_label
_atom_site_fract_x
_atom_site_fract_y
_atom_site_fract_z
_atom_site_occupancy
K1 0.250 0.250 0.000 1
Zr1 0.000 0.000 0.500 1
W1 0.000 0.500 0.500 1
```

Its energy above the most stable polymorph in this dataset is 461 meV per atom. For the final energy, the calculation gives -0.340 Ry/atom. As for the formation energy from the elements: 1.30 eV/atom.

***

> What is the formula in the second record?

TmPuZnAg

***

> Which of these has the lowest final energy?

CaPW2

***

> final energy of number 5 (CaFe2Sb)?

-0.392 Ry/atom